Arrangement i

A plane-wave DFT calculation with PBE was carried out for an optimized crystal structure of Sc3Ga2Ru.

a b c (Å): 3.303 3.303 9.965
angles (deg): 90.00 90.00 90.00
Sites, in units of the cell vectors:
Sc1 0.000 0.000 0.000
Sc2 0.000 0.000 0.347
Sc3 0.000 0.000 0.653
Ga1 0.500 0.500 0.175
Ga2 0.500 0.500 0.825
Ru1 0.500 0.500 0.500

Summary:
The mass density comes out at 5.7 Mg/m³.

***

Arrangement ii

A plane-wave DFT calculation with PBE was carried out for an optimized crystal structure of Sc3Ga2Ru.

a b c (Å): 6.627 6.627 6.627
angles (deg): 70.56 70.56 70.56
Sites, in units of the cell vectors:
Sc1 0.104 0.750 0.396
Sc2 0.250 0.604 0.896
Sc3 0.396 0.104 0.750
Sc4 0.604 0.896 0.250
Sc5 0.750 0.396 0.104
Sc6 0.896 0.250 0.604
Ga1 0.170 0.170 0.170
Ga2 0.330 0.330 0.330
Ga3 0.670 0.670 0.670
Ga4 0.830 0.830 0.830
Ru1 0.000 0.000 0.000
Ru2 0.500 0.500 0.500

Summary:
The mass density comes out at 5.0 Mg/m³.

***

Stability verdict: arrangement i, ahead by 0.325 eV/atom

***

Arrangement i

A plane-wave DFT calculation with PBE was carried out for an optimized crystal structure of ScGa4Ru2.

a b c (Å): 4.043 4.043 7.002
angles (deg): 90.00 90.00 90.00
Sites, in units of the cell vectors:
Sc1 0.000 0.000 0.000
Ga1 0.000 0.500 0.281
Ga2 0.000 0.500 0.719
Ga3 0.500 0.000 0.281
Ga4 0.500 0.000 0.719
Ru1 0.000 0.000 0.500
Ru2 0.500 0.500 0.000

Summary:
The mass density comes out at 7.6 Mg/m³.

***

Arrangement ii

A plane-wave DFT calculation with PBE was carried out for an optimized crystal structure of ScGa4Ru2.

a b c (Å): 7.327 7.327 7.327
angles (deg): 140.73 140.73 56.75
Sites, in units of the cell vectors:
Sc1 0.000 0.000 0.000
Ga1 0.000 0.500 0.500
Ga2 0.216 0.216 0.000
Ga3 0.500 0.000 0.500
Ga4 0.784 0.784 0.000
Ru1 0.407 0.407 0.000
Ru2 0.593 0.593 0.000

Summary:
The mass density comes out at 5.6 Mg/m³.

***

Stability verdict: arrangement i, ahead by 1.034 eV/atom

***

Arrangement i

A plane-wave DFT calculation with PBE was carried out for an optimized crystal structure of Sc2Ga2Ru.

a b c (Å): 5.472 5.472 11.165
angles (deg): 109.57 109.57 35.53
Sites, in units of the cell vectors:
Sc1 0.013 0.013 0.180
Sc2 0.197 0.197 0.617
Sc3 0.803 0.803 0.383
Sc4 0.987 0.987 0.820
Ga1 0.349 0.349 0.966
Ga2 0.465 0.465 0.602
Ga3 0.535 0.535 0.398
Ga4 0.651 0.651 0.034
Ru1 0.305 0.305 0.195
Ru2 0.695 0.695 0.805

Summary:
The mass density comes out at 6.0 Mg/m³.

***

Arrangement ii

A plane-wave DFT calculation with PBE was carried out for an optimized crystal structure of Sc2Ga2Ru.

a b c (Å): 6.852 6.852 3.765
angles (deg): 90.00 90.00 90.00
Sites, in units of the cell vectors:
Sc1 0.175 0.325 0.000
Sc2 0.325 0.825 0.000
Sc3 0.675 0.175 0.000
Sc4 0.825 0.675 0.000
Ga1 0.131 0.631 0.500
Ga2 0.369 0.131 0.500
Ga3 0.631 0.869 0.500
Ga4 0.869 0.369 0.500
Ru1 0.000 0.000 0.500
Ru2 0.500 0.500 0.500

Summary:
The mass density comes out at 6.2 Mg/m³.

***

Stability verdict: arrangement i, ahead by 0.041 eV/atom

***

Arrangement i

A plane-wave DFT calculation with PBE was carried out for an optimized crystal structure of Sc4Ga3Ru.

a b c (Å): 3.438 4.275 10.440
angles (deg): 90.00 90.00 90.00
Sites, in units of the cell vectors:
Sc1 0.000 0.000 0.000
Sc2 0.000 0.500 0.280
Sc3 0.500 0.000 0.467
Sc4 0.500 0.500 0.794
Ga1 0.000 0.000 0.713
Ga2 0.000 0.500 0.561
Ga3 0.500 0.500 0.060
Ru1 0.500 0.000 0.211

Summary:
The mass density comes out at 5.3 Mg/m³.

***

Arrangement ii

A plane-wave DFT calculation with PBE was carried out for an optimized crystal structure of Sc4Ga3Ru.

a b c (Å): 3.292 3.292 13.531
angles (deg): 90.00 90.00 90.00
Sites, in units of the cell vectors:
Sc1 0.000 0.000 0.113
Sc2 0.000 0.000 0.369
Sc3 0.000 0.000 0.631
Sc4 0.000 0.000 0.887
Ga1 0.500 0.500 0.240
Ga2 0.500 0.500 0.500
Ga3 0.500 0.500 0.760
Ru1 0.500 0.500 0.000

Summary:
The mass density comes out at 5.5 Mg/m³.

***

Stability verdict: arrangement ii, ahead by 0.068 eV/atom

***

Arrangement i

A plane-wave DFT calculation with PBE was carried out for an optimized crystal structure of TmScGaRu.

a b c (Å): 4.756 4.756 4.756
angles (deg): 60.00 60.00 60.00
Sites, in units of the cell vectors:
Tm1 0.000 0.000 0.000
Sc1 0.500 0.500 0.500
Ga1 0.750 0.750 0.750
Ru1 0.250 0.250 0.250

Summary:
The mass density comes out at 8.4 Mg/m³.

***

Arrangement ii

A plane-wave DFT calculation with PBE was carried out for an optimized crystal structure of TmScGaRu.

a b c (Å): 3.364 3.364 6.763
angles (deg): 90.00 90.00 90.00
Sites, in units of the cell vectors:
Tm1 0.000 0.000 0.000
Sc1 0.000 0.000 0.468
Ga1 0.500 0.500 0.711
Ru1 0.500 0.500 0.252

Summary:
The mass density comes out at 8.3 Mg/m³.

***

Stability verdict: arrangement ii, ahead by 0.085 eV/atom

***

Arrangement i

A plane-wave DFT calculation with PBE was carried out for an optimized crystal structure of Ga3SiRu.

a b c (Å): 4.694 4.694 4.694
angles (deg): 90.00 90.00 90.00
Sites, in units of the cell vectors:
Ga1 0.000 0.000 0.500
Ga2 0.000 0.500 0.000
Ga3 0.500 0.000 0.000
Si1 0.000 0.000 0.000
Ru1 0.500 0.500 0.500

Summary:
The mass density comes out at 5.4 Mg/m³.

***

Arrangement ii

A plane-wave DFT calculation with PBE was carried out for an optimized crystal structure of Ga3SiRu.

a b c (Å): 4.838 4.838 4.838
angles (deg): 90.00 90.00 90.00
Sites, in units of the cell vectors:
Ga1 0.000 0.000 0.500
Ga2 0.000 0.500 0.000
Ga3 0.500 0.000 0.000
Si1 0.500 0.500 0.500
Ru1 0.000 0.000 0.000

Summary:
The mass density comes out at 5.0 Mg/m³.

***

Stability verdict: arrangement ii, ahead by 0.565 eV/atom